Entry 1:
ScAlPb2: optimized geometry, PBEsol.

abc: 3.417 4.507 6.176
angles: 90.00 90.00 90.00
Element x y z (fractional)
Sc  0.000  0.000  0.000
Al  0.500  0.500  0.236
Pb  0.000  0.000  0.479
Pb  0.500  0.500  0.774

Output
Its raw total energy is -4.76 eV/atom. For the total moment, the calculation gives 0.00 μB/f.u. The formation energy comes out at -0.35 eV/f.u.

Entry 2:
CoIrBr: optimized geometry, PBEsol.

abc: 4.183 4.183 4.183
angles: 60.00 60.00 60.00
Element x y z (fractional)
Co  0.000  0.000  0.000
Ir  0.250  0.250  0.250
Br  0.500  0.500  0.500

Output
Its raw total energy is -5.46 eV/atom. For the total moment, the calculation gives 2.61 μB/f.u.

Question: Which formula does entry 2 have?
Answer: CoIrBr